Entry 1:
Compound: Bi2TeS5
Source: Alexandria via LeMat-Bulk
Functional: PBE-GGA
Structure: relaxed

## Properties
**Calculated total energy**: -4.0783 eV/atom
**ΔE_f (raw)**: -1.1 eV/f.u.
**Size of the total moment**: 0.000 μB per atom
**SG**: No. 63

Cell: 5.5405 7.6594 12.8554 Å, 90.00 90.00 111.20°
Last column: nearest neighbours and their distance in Å.
Atoms (fractional coordinates):
Bi 0.8343 0.6687 0.4346  5 S 2.62-2.90
Bi 0.8343 0.6687 0.0654  5 S 2.62-2.90
Bi 0.1657 0.3313 0.5654  5 S 2.62-2.90
Bi 0.1657 0.3313 0.9346  5 S 2.62-2.90
Te 0.8345 0.6691 0.7500  2 S 2.38
Te 0.1655 0.3309 0.2500  2 S 2.38
S 0.9480 0.8961 0.8860  1 Te 2.38
S 0.9480 0.8961 0.6140  1 Te 2.38
S 0.3086 0.6173 0.4383  3 Bi 2.62-2.79
S 0.3086 0.6173 0.0617  3 Bi 2.62-2.79
S 0.7177 0.4354 0.2500  2 Te 2.87, 2 Bi 2.90
S 0.2823 0.5646 0.7500  2 Te 2.87, 2 Bi 2.90
S 0.6914 0.3827 0.5617  3 Bi 2.62-2.79
S 0.6914 0.3827 0.9383  3 Bi 2.62-2.79
S 0.0520 0.1039 0.1140  1 Te 2.38
S 0.0520 0.1039 0.3860  1 Te 2.38

***

Entry 2:
Compound: Sr3AcPm2Te6
Source: Alexandria via LeMat-Bulk
Functional: PBE-GGA
Structure: relaxed

## Properties
**Calculated total energy**: -4.6840 eV/atom
**ΔE_f (raw)**: -18.7 eV/f.u.
**Size of the total moment**: 0.000 μB per atom
**SG**: No. 12

Cell: 7.9696 7.9696 8.1444 Å, 99.42 99.42 119.95°
Last column: nearest neighbours and their distance in Å.
Atoms (fractional coordinates):
Sr 0.1632 0.8368 0.5000  6 Te 3.28-3.34
Sr 0.8368 0.1632 0.5000  6 Te 3.28-3.34
Sr 0.5000 0.5000 0.5000  6 Te 3.26-3.34
Ac 0.0000 0.0000 0.0000  6 Te 3.31-3.32
Pm 0.3329 0.6671 0.0000  6 Te 3.22-3.23
Pm 0.6671 0.3329 0.0000  6 Te 3.22-3.23
Te 0.9185 0.5754 0.7555  2 Pm 3.22-3.23, 3 Sr 3.28-3.34, 1 Ac 3.32
Te 0.7375 0.7375 0.2418  2 Pm 3.22, 3 Sr 3.26-3.32, 1 Ac 3.31
Te 0.0815 0.4246 0.2445  2 Pm 3.22-3.23, 3 Sr 3.28-3.34, 1 Ac 3.32
Te 0.5754 0.9185 0.7555  2 Pm 3.22-3.23, 3 Sr 3.28-3.34, 1 Ac 3.32
Te 0.2625 0.2625 0.7582  2 Pm 3.22, 3 Sr 3.26-3.32, 1 Ac 3.31
Te 0.4246 0.0815 0.2445  2 Pm 3.22-3.23, 3 Sr 3.28-3.34, 1 Ac 3.32

***

Entry 3:
Compound: AcAlPb2
Source: Alexandria via LeMat-Bulk
Functional: PBE-GGA
Structure: relaxed

## Properties
**ΔH_f (0 K)**: -0.124 eV/atom
**Calculated total energy**: -3.9407 eV/atom
**Polymorph energy (0 for the lowest one)**: 0.150 eV per atom
**Size of the total moment**: 0.000 μB per atom
**SG**: No. 123

Cell: 4.0604 4.0604 7.2898 Å, 90.00 90.00 90.00°
Last column: nearest neighbours and their distance in Å.
Atoms (fractional coordinates):
Pb 0.0000 0.0000 0.7912  1 Pb 3.04, 4 Al 3.25
Pb 0.0000 0.0000 0.2088  1 Pb 3.04, 4 Al 3.25
Ac 0.5000 0.5000 0.5000  8 Pb 3.57, 2 Al 3.64
Al 0.5000 0.5000 0.0000  8 Pb 3.25

***

Question: The highest calculated total energy belongs to which entry?
Answer: AcAlPb2

***

Question: Which formula does entry 3 have?
Answer: AcAlPb2

***

Question: Number 3 is which compound?
Answer: AcAlPb2